{"formula": "Rb2HgPdF6", "functional": "meta-GGA SCAN", "state": "single point on PBEsol structure", "rho_g_cm3": 5.741, "e_form_raw_ev_per_atom": -2.06, "e_tot_ev_per_atom": -18.425, "sg": "No. 225", "lattice_angstrom": [[0.000, 4.407, 4.407], [4.407, 0.000, 4.407], [4.407, 4.407, 0.000]], "species": ["Rb", "Rb", "Hg", "Pd", "F", "F", "F", "F", "F", "F"], "fractional_positions": [[0.250, 0.250, 0.250], [0.750, 0.750, 0.750], [0.000, 0.000, 0.000], [0.500, 0.500, 0.500], [0.264, 0.264, 0.736], [0.264, 0.736, 0.264], [0.264, 0.736, 0.736], [0.736, 0.264, 0.264], [0.736, 0.264, 0.736], [0.736, 0.736, 0.264]]}

=====

{"formula": "Rb3HgF", "functional": "meta-GGA SCAN", "state": "single point on PBEsol structure", "rho_g_cm3": 4.446, "e_form_raw_ev_per_atom": -1.21, "e_tot_ev_per_atom": -27.994, "sg": "No. 221", "lattice_angstrom": [[5.623, 0.000, 0.000], [0.000, 5.623, 0.000], [0.000, 0.000, 5.623]], "species": ["Rb", "Rb", "Rb", "Hg", "F"], "fractional_positions": [[0.000, 0.000, 0.500], [0.000, 0.500, 0.000], [0.500, 0.000, 0.000], [0.500, 0.500, 0.500], [0.000, 0.000, 0.000]]}

=====

{"formula": "Rb2HgRhF6", "functional": "meta-GGA SCAN", "state": "single point on PBEsol structure", "rho_g_cm3": 5.775, "e_form_raw_ev_per_atom": -2.12, "e_tot_ev_per_atom": -18.587, "sg": "No. 225", "lattice_angstrom": [[0.000, 4.390, 4.390], [4.390, 0.000, 4.390], [4.390, 4.390, 0.000]], "species": ["Rb", "Rb", "Hg", "Rh", "F", "F", "F", "F", "F", "F"], "fractional_positions": [[0.250, 0.250, 0.250], [0.750, 0.750, 0.750], [0.000, 0.000, 0.000], [0.500, 0.500, 0.500], [0.270, 0.270, 0.730], [0.270, 0.730, 0.270], [0.270, 0.730, 0.730], [0.730, 0.270, 0.270], [0.730, 0.270, 0.730], [0.730, 0.730, 0.270]]}

=====

{"formula": "Rb2HgRuF6", "functional": "meta-GGA SCAN", "state": "single point on PBEsol structure", "rho_g_cm3": 4.688, "e_form_raw_ev_per_atom": -2.14, "e_tot_ev_per_atom": -18.714, "sg": "No. 225", "lattice_angstrom": [[0.000, 4.701, 4.701], [4.701, 0.000, 4.701], [4.701, 4.701, 0.000]], "species": ["Rb", "Rb", "Hg", "Ru", "F", "F", "F", "F", "F", "F"], "fractional_positions": [[0.250, 0.250, 0.250], [0.750, 0.750, 0.750], [0.000, 0.000, 0.000], [0.500, 0.500, 0.500], [0.295, 0.295, 0.705], [0.295, 0.705, 0.295], [0.295, 0.705, 0.705], [0.705, 0.295, 0.295], [0.705, 0.295, 0.705], [0.705, 0.705, 0.295]]}

=====

{"formula": "ReHg3F", "functional": "meta-GGA SCAN", "state": "single point on PBEsol structure", "rho_g_cm3": 9.128, "e_form_raw_ev_per_atom": 0.61, "e_tot_ev_per_atom": -55.213, "sg": "No. 221", "lattice_angstrom": [[5.275, 0.000, 0.000], [0.000, 5.275, 0.000], [0.000, 0.000, 5.275]], "species": ["Re", "Hg", "Hg", "Hg", "F"], "fractional_positions": [[0.000, 0.000, 0.000], [0.000, 0.000, 0.500], [0.000, 0.500, 0.000], [0.500, 0.000, 0.000], [0.500, 0.500, 0.500]]}

=====

{"formula": "ReHgF3", "functional": "meta-GGA SCAN", "state": "single point on PBEsol structure", "rho_g_cm3": 10.082, "e_form_raw_ev_per_atom": -0.98, "e_tot_ev_per_atom": -30.962, "sg": "No. 221", "lattice_angstrom": [[4.181, 0.000, 0.000], [0.000, 4.181, 0.000], [0.000, 0.000, 4.181]], "species": ["Re", "Hg", "F", "F", "F"], "fractional_positions": [[0.000, 0.000, 0.000], [0.500, 0.500, 0.500], [0.000, 0.000, 0.500], [0.000, 0.500, 0.000], [0.500, 0.000, 0.000]]}

=====

{"formula": "HgRhF6", "functional": "meta-GGA SCAN", "state": "single point on PBEsol structure", "rho_g_cm3": 6.266, "e_form_raw_ev_per_atom": -1.60, "e_tot_ev_per_atom": -16.994, "sg": "No. 148", "lattice_angstrom": [[2.564, 1.480, 4.859], [-2.564, 1.480, 4.859], [0.000, -2.960, 4.859]], "species": ["Hg", "Rh", "F", "F", "F", "F", "F", "F"], "fractional_positions": [[0.000, 0.000, 0.000], [0.500, 0.500, 0.500], [0.107, 0.712, 0.451], [0.288, 0.549, 0.893], [0.451, 0.107, 0.712], [0.549, 0.893, 0.288], [0.712, 0.451, 0.107], [0.893, 0.288, 0.549]]}

=====

{"formula": "HgSF3", "functional": "meta-GGA SCAN", "state": "single point on PBEsol structure", "rho_g_cm3": 5.531, "e_form_raw_ev_per_atom": -0.52, "e_tot_ev_per_atom": -18.201, "sg": "No. 221", "lattice_angstrom": [[4.430, 0.000, 0.000], [0.000, 4.430, 0.000], [0.000, 0.000, 4.430]], "species": ["Hg", "S", "F", "F", "F"], "fractional_positions": [[0.000, 0.000, 0.000], [0.500, 0.500, 0.500], [0.000, 0.000, 0.500], [0.000, 0.500, 0.000], [0.500, 0.000, 0.000]]}

=====

{"formula": "Hg2SbTeF", "functional": "meta-GGA SCAN", "state": "single point on PBEsol structure", "rho_g_cm3": 8.703, "e_form_raw_ev_per_atom": -0.44, "e_tot_ev_per_atom": -43.321, "sg": "No. 123", "lattice_angstrom": [[5.503, 0.000, 0.000], [0.000, 5.503, 0.000], [0.000, 0.000, 4.218]], "species": ["Hg", "Hg", "Sb", "Te", "F"], "fractional_positions": [[0.000, 0.500, 0.000], [0.500, 0.000, 0.000], [0.000, 0.000, 0.000], [0.500, 0.500, 0.500], [0.000, 0.000, 0.500]]}

=====

{"formula": "HgSbTe2F", "functional": "meta-GGA SCAN", "state": "single point on PBEsol structure", "rho_g_cm3": 7.937, "e_form_raw_ev_per_atom": 0.05, "e_tot_ev_per_atom": -36.643, "sg": "No. 123", "lattice_angstrom": [[5.344, 0.000, 0.000], [0.000, 5.344, 0.000], [0.000, 0.000, 4.371]], "species": ["Hg", "Sb", "Te", "Te", "F"], "fractional_positions": [[0.000, 0.000, 0.000], [0.500, 0.500, 0.000], [0.000, 0.500, 0.500], [0.500, 0.000, 0.500], [0.500, 0.500, 0.500]]}

=====

{"formula": "Sc3HgF", "functional": "meta-GGA SCAN", "state": "single point on PBEsol structure", "rho_g_cm3": 4.035, "e_form_raw_ev_per_atom": -0.05, "e_tot_ev_per_atom": -22.930, "sg": "No. 221", "lattice_angstrom": [[5.264, 0.000, 0.000], [0.000, 5.264, 0.000], [0.000, 0.000, 5.264]], "species": ["Sc", "Sc", "Sc", "Hg", "F"], "fractional_positions": [[0.000, 0.000, 0.500], [0.000, 0.500, 0.000], [0.500, 0.000, 0.000], [0.000, 0.000, 0.000], [0.500, 0.500, 0.500]]}

=====

{"formula": "ScTcHgF2", "functional": "meta-GGA SCAN", "state": "single point on PBEsol structure", "rho_g_cm3": 7.037, "e_form_raw_ev_per_atom": -1.57, "e_tot_ev_per_atom": -26.474, "sg": "No. 123", "lattice_angstrom": [[3.910, 0.000, 0.000], [0.000, 3.910, 0.000], [0.000, 0.000, 5.889]], "species": ["Sc", "Tc", "Hg", "F", "F"], "fractional_positions": [[0.000, 0.000, 0.000], [0.000, 0.000, 0.500], [0.500, 0.500, 0.500], [0.000, 0.500, 0.000], [0.500, 0.000, 0.000]]}